# 1
This record from Alexandria via LeMat-Bulk describes a relaxed BaNa3Tl3 crystal. The functional is GGA-PBE.

a = 9.7614 Å, b = 9.7614 Å, c = 5.6526 Å
α = 90.00°, β = 90.00°, γ = 120.00°
Space group P6_3/m (No. 176)
Inequivalent atoms, fractional coordinates:
1 Ba 0.3333 0.6667 0.2500
2 Na 0.0036 0.2313 0.7500
3 Tl 0.0873 0.6124 0.7500

Calculated values
M_tot	0.00	μB per formula unit
calculated volume	33.32	Å³ per atom
formation energy from the elements	-0.1773	eV/atom
distance to the lowest polymorph of the same formula	0	meV per atom

# 2
This record from Alexandria via LeMat-Bulk describes a relaxed CuBP2O crystal. The functional is GGA-PBE.

a = 4.7486 Å, b = 4.7486 Å, c = 2.7099 Å
α = 90.00°, β = 90.00°, γ = 90.00°
Space group P4/mmm (No. 123)
Inequivalent atoms, fractional coordinates:
1 Cu 0.0000 0.0000 0.0000
2 B 0.5000 0.5000 0.5000
3 P 0.0000 0.5000 0.5000
4 O 0.5000 0.5000 0.0000

Calculated values
M_tot	0.00	μB per formula unit
calculated volume	12.22	Å³ per atom
E_form (uncorrected)	70	kJ/mol of formula units
distance to the lowest polymorph of the same formula	0	meV per atom

# 3
This record from Alexandria via LeMat-Bulk describes a relaxed NiSb2IrI crystal. The functional is GGA-PBE.

a = 5.0692 Å, b = 5.0692 Å, c = 5.6763 Å
α = 90.00°, β = 90.00°, γ = 90.00°
Space group P4/mmm (No. 123)
Inequivalent atoms, fractional coordinates:
1 Ni 0.0000 0.0000 0.0000
2 Sb 0.0000 0.5000 0.5000
3 Ir 0.5000 0.5000 0.5000
4 I 0.5000 0.5000 0.0000

Calculated values
M_tot	0.54	μB per formula unit
calculated volume	29.17	Å³ per atom
E_form (uncorrected)	450	kJ/mol of formula units
distance to the lowest polymorph of the same formula	0	meV per atom

# 4
This record from Alexandria via LeMat-Bulk describes a relaxed InMoPt2 crystal. The functional is GGA-PBE.

a = 9.2419 Å, b = 2.8793 Å, c = 5.1277 Å
α = 90.00°, β = 98.00°, γ = 90.00°
Space group C2/m (No. 12)
Inequivalent atoms, fractional coordinates:
1 In 0.0000 0.0000 0.0000
2 Mo 0.0000 0.5000 0.5000
3 Pt 0.2467 0.0000 0.7328

Calculated values
M_tot	0.00	μB per formula unit
calculated volume	16.89	Å³ per atom
formation energy from the elements	-0.0817	eV/atom

# 5
This record from Alexandria via LeMat-Bulk describes a relaxed Mg2ZnTe crystal. The functional is GGA-PBE.

a = 4.0304 Å, b = 3.9321 Å, c = 6.2629 Å
α = 90.00°, β = 108.69°, γ = 90.00°
Space group Pm (No. 6)
Inequivalent atoms, fractional coordinates:
1 Mg 0.0000 0.0000 0.0000
2 Mg 0.3202 0.5000 0.6443
3 Zn 0.5531 0.5000 0.1024
4 Te 0.7352 0.0000 0.4769

Calculated values
M_tot	0.00	μB per formula unit
calculated volume	23.50	Å³ per atom
E_form (uncorrected)	-80	kJ/mol of formula units
distance to the lowest polymorph of the same formula	37	meV per atom

# 6
This record from Alexandria via LeMat-Bulk describes a relaxed LiCa2In7 crystal. The functional is GGA-PBE.

a = 10.6649 Å, b = 10.6649 Å, c = 10.6649 Å
α = 90.00°, β = 90.00°, γ = 90.00°
Space group Fm-3m (No. 225)
Inequivalent atoms, fractional coordinates:
1 Li 0.0000 0.0000 0.0000
2 Ca 0.2500 0.2500 0.2500
3 In 0.0000 0.0000 0.2334
4 In 0.0000 0.0000 0.5000

Calculated values
M_tot	0.00	μB per formula unit
calculated volume	30.33	Å³ per atom
formation energy from the elements	0.0258	eV/atom

# 7
This record from Alexandria via LeMat-Bulk describes a relaxed SeI3Cl crystal. The functional is GGA-PBE.

a = 6.3322 Å, b = 9.3159 Å, c = 11.1144 Å
α = 90.00°, β = 124.67°, γ = 90.00°
Space group Pc (No. 7)
Inequivalent atoms, fractional coordinates:
1 Se 0.0000 0.1689 0.0000
2 I 0.5078 0.1798 0.7681
3 I 0.9480 0.1759 0.5004
4 I 0.9722 0.1802 0.2324
5 Cl 0.1180 0.3944 0.9996

Calculated values
M_tot	0.00	μB per formula unit
calculated volume	53.92	Å³ per atom
E_form (uncorrected)	-47	kJ/mol of formula units
distance to the lowest polymorph of the same formula	0	meV per atom

# 8
This record from Alexandria via LeMat-Bulk describes a relaxed Li2AgMo crystal. The functional is GGA-PBE.

a = 2.5990 Å, b = 4.6528 Å, c = 5.2843 Å
α = 90.00°, β = 92.64°, γ = 90.00°
Space group P2/m (No. 10)
Inequivalent atoms, fractional coordinates:
1 Li 0.1224 0.0000 0.2410
2 Ag 0.0000 0.5000 0.5000
3 Mo 0.5000 0.5000 0.0000

Calculated values
M_tot	0.98	μB per formula unit
calculated volume	15.96	Å³ per atom
formation energy from the elements	0.3441	eV/atom
distance to the lowest polymorph of the same formula	169	meV per atom